! Cd2HgPb, single point on PBEsol structure, DFT meta-GGA SCAN; values from VASP
&SYSTEM
  ibrav = 0, nat = 4, ntyp = 3
/
ATOMIC_SPECIES
Pb 207.20 Pb.upf
Hg 200.59 Hg.upf
Cd 112.41 Cd.upf
CELL_PARAMETERS angstrom
-2.753 -1.304 1.323
2.224 0.275 4.901
-2.033 4.949 0.646
ATOMIC_POSITIONS angstrom
Pb -1.377 -0.652 0.661
Hg -1.281 1.960 3.435
Cd -1.017 2.474 0.323
Cd 1.112 0.137 2.450
! **Energy of formation from the pure elements**: 63 meV/atom
! **Fermi-level density of states**: 1.420 states/eV/cell

! LiLa3O, single point on PBEsol structure, DFT meta-GGA SCAN; values from VASP
&SYSTEM
  ibrav = 0, nat = 5, ntyp = 3
/
ATOMIC_SPECIES
La 138.91 La.upf
O 16.00 O.upf
Li 6.94 Li.upf
CELL_PARAMETERS angstrom
-3.441 3.655 0.140
-3.590 -3.411 0.832
0.700 0.470 4.950
ATOMIC_POSITIONS angstrom
La -1.795 -1.706 0.416
La 0.350 0.235 2.475
La -1.720 1.827 0.070
O 0.000 0.000 0.000
Li -3.165 0.357 2.961
! **Fermi-level density of states**: 4.856 states/eV/cell
! **ΔE_f (raw)**: -1179 meV/atom

! MgCSe2, single point on PBEsol structure, DFT meta-GGA SCAN; values from VASP
&SYSTEM
  ibrav = 0, nat = 4, ntyp = 3
/
ATOMIC_SPECIES
Mg 24.30 Mg.upf
C 12.01 C.upf
Se 78.96 Se.upf
CELL_PARAMETERS angstrom
4.531 0.000 0.000
2.265 3.924 0.000
2.265 1.308 3.700
ATOMIC_POSITIONS angstrom
Mg 4.531 2.616 1.850
C 0.000 0.000 0.000
Se 2.265 1.308 0.925
Se 6.796 3.924 2.775
! **Fermi-level density of states**: 2.197 states/eV/cell
! **ΔE_f (raw)**: 1219 meV/atom

! V2O5, single point on PBEsol structure, DFT meta-GGA SCAN; values from VASP
&SYSTEM
  ibrav = 0, nat = 14, ntyp = 2
/
ATOMIC_SPECIES
O 16.00 O.upf
V 50.94 V.upf
CELL_PARAMETERS angstrom
3.543 0.000 0.000
0.000 4.222 0.000
0.000 0.000 11.608
ATOMIC_POSITIONS angstrom
O 1.771 2.129 3.695
O 0.000 2.093 2.109
O 0.000 2.093 9.499
O 1.771 2.129 7.913
O 0.000 4.162 7.508
O 1.771 0.060 9.905
O 1.771 0.060 1.703
O 1.771 2.079 0.000
O 0.000 2.143 5.804
O 0.000 4.162 4.101
V 0.000 2.571 4.084
V 1.771 1.651 1.720
V 1.771 1.651 9.888
V 0.000 2.571 7.524
! **Fermi-level density of states**: 0.000 states/eV/cell
! **ΔE_f (raw)**: -2472 meV/atom

! PtAu3, single point on PBEsol structure, DFT meta-GGA SCAN; values from VASP
&SYSTEM
  ibrav = 0, nat = 4, ntyp = 2
/
ATOMIC_SPECIES
Au 196.97 Au.upf
Pt 195.08 Pt.upf
CELL_PARAMETERS angstrom
2.824 0.000 0.000
0.000 4.769 0.000
0.000 0.000 4.880
ATOMIC_POSITIONS angstrom
Au 0.000 0.000 0.014
Au 1.412 0.000 2.428
Au 1.412 2.384 4.063
Pt 0.000 2.384 1.629
! **Energy of formation from the pure elements**: 68 meV/atom
! **Fermi-level density of states**: 1.600 states/eV/cell

! MgAg2, single point on PBEsol structure, DFT meta-GGA SCAN; values from VASP
&SYSTEM
  ibrav = 0, nat = 12, ntyp = 2
/
ATOMIC_SPECIES
Ag 107.87 Ag.upf
Mg 24.30 Mg.upf
CELL_PARAMETERS angstrom
-0.999 2.123 3.440
3.862 -3.026 2.989
6.041 5.867 -1.867
ATOMIC_POSITIONS angstrom
Ag 7.265 3.315 3.844
Ag 5.114 1.460 4.364
Ag 7.785 3.996 1.054
Ag 3.629 0.194 2.194
Ag 5.275 4.770 2.368
Ag 1.119 0.968 3.508
Ag 3.790 3.505 0.198
Ag 1.639 1.649 0.718
Mg 3.107 -0.443 4.956
Mg 5.831 2.052 1.687
Mg 3.073 2.913 2.875
Mg 5.798 5.408 -0.394
! **Energy of formation from the pure elements**: -186 meV/atom
! **Fermi-level density of states**: 3.126 states/eV/cell

! Li4MnNi3P4O16, single point on PBEsol structure, DFT meta-GGA SCAN; values from VASP
&SYSTEM
  ibrav = 0, nat = 28, ntyp = 5
/
ATOMIC_SPECIES
Li 6.94 Li.upf
Mn 54.94 Mn.upf
Ni 58.69 Ni.upf
P 30.97 P.upf
O 16.00 O.upf
CELL_PARAMETERS angstrom
4.672 0.000 0.008
0.000 5.883 0.000
0.003 0.000 10.044
ATOMIC_POSITIONS angstrom
Li 4.663 4.412 10.009
Li 4.663 1.470 10.009
Li 2.349 1.485 5.084
Li 2.349 4.398 5.084
Mn 0.085 0.000 2.782
Ni 4.605 2.941 7.317
Ni 2.410 2.941 2.245
Ni 2.252 0.000 7.787
P 4.300 0.000 6.032
P 2.691 0.000 0.886
P 1.968 2.941 9.096
P 0.391 2.941 4.094
O 3.724 0.000 4.592
O 3.644 4.647 6.741
O 3.644 1.236 6.741
O 3.531 2.941 4.031
O 3.500 2.941 9.064
O 3.332 4.652 1.619
O 3.332 1.230 1.619
O 3.292 0.000 9.500
O 1.388 2.941 0.493
O 1.305 1.715 8.368
O 1.305 4.168 8.368
O 1.162 0.000 0.915
O 1.161 0.000 6.034
O 1.067 1.728 3.370
O 1.067 4.155 3.370
O 0.939 2.941 5.544
! **ΔE_f (raw)**: -2319 meV/atom

! Y2GeH2, single point on PBEsol structure, DFT meta-GGA SCAN; values from VASP
&SYSTEM
  ibrav = 0, nat = 5, ntyp = 3
/
ATOMIC_SPECIES
Y 88.91 Y.upf
H 1.01 H.upf
Ge 72.64 Ge.upf
CELL_PARAMETERS angstrom
3.610 0.000 0.000
0.000 3.610 0.000
-1.805 -1.805 5.899
ATOMIC_POSITIONS angstrom
Y 0.000 0.000 4.238
Y 1.805 1.805 1.661
H 0.000 1.805 2.949
H 1.805 0.000 2.949
Ge 0.000 0.000 0.000
! **Fermi-level density of states**: 1.255 states/eV/cell

! ScAsI2O, single point on PBEsol structure, DFT meta-GGA SCAN; values from VASP
&SYSTEM
  ibrav = 0, nat = 5, ntyp = 4
/
ATOMIC_SPECIES
I 126.90 I.upf
Sc 44.96 Sc.upf
As 74.92 As.upf
O 16.00 O.upf
CELL_PARAMETERS angstrom
3.760 0.000 0.000
0.000 5.738 0.000
0.000 0.000 5.738
ATOMIC_POSITIONS angstrom
I 0.000 0.000 2.869
I 0.000 2.869 0.000
Sc 1.880 2.869 2.869
As 0.000 0.000 0.000
O 1.880 0.000 0.000
! **Fermi-level density of states**: 3.964 states/eV/cell
! **ΔE_f (raw)**: -282 meV/atom

! YTl, single point on PBEsol structure, DFT meta-GGA SCAN; values from VASP
&SYSTEM
  ibrav = 0, nat = 2, ntyp = 2
/
ATOMIC_SPECIES
Y 88.91 Y.upf
Tl 204.38 Tl.upf
CELL_PARAMETERS angstrom
-3.051 -0.441 2.099
-0.069 -3.628 -0.862
2.144 -0.745 2.959
ATOMIC_POSITIONS angstrom
Y 0.000 0.000 0.000
Tl -0.488 -2.406 2.098
! **Energy of formation from the pure elements**: -607 meV/atom
! **Fermi-level density of states**: 1.312 states/eV/cell

! PrSBr, single point on PBEsol structure, DFT meta-GGA SCAN; values from VASP
&SYSTEM
  ibrav = 0, nat = 12, ntyp = 3
/
ATOMIC_SPECIES
Pr 140.91 Pr.upf
S 32.06 S.upf
Br 79.90 Br.upf
CELL_PARAMETERS angstrom
-3.424 -0.818 -5.969
-2.719 -5.287 3.660
-5.125 4.266 2.355
ATOMIC_POSITIONS angstrom
Pr -4.744 -4.098 -2.133
Pr -6.524 2.259 2.179
Pr -6.044 0.025 -1.814
Pr -5.224 -1.864 1.859
S -5.932 -2.063 -3.678
S -5.335 0.224 3.724
S -7.137 -0.110 0.780
S -4.131 -1.729 -0.734
Br -6.880 -3.783 0.022
Br -4.388 1.944 0.023
Br -7.467 2.673 -2.333
Br -3.801 -4.512 2.379
! **Fermi-level density of states**: 0.000 states/eV/cell
! **ΔE_f (raw)**: -2291 meV/atom

! RbZrMo3, single point on PBEsol structure, DFT meta-GGA SCAN; values from VASP
&SYSTEM
  ibrav = 0, nat = 5, ntyp = 3
/
ATOMIC_SPECIES
Mo 95.94 Mo.upf
Rb 85.47 Rb.upf
Zr 91.22 Zr.upf
CELL_PARAMETERS angstrom
4.626 0.000 0.000
0.000 4.626 0.000
0.000 0.000 4.626
ATOMIC_POSITIONS angstrom
Mo 0.000 2.313 0.000
Mo 0.000 0.000 2.313
Mo 2.313 0.000 0.000
Rb 0.000 0.000 0.000
Zr 2.313 2.313 2.313
! **Energy of formation from the pure elements**: 2974 meV/atom
! **Fermi-level density of states**: 5.623 states/eV/cell

! BeFe2Ru, single point on PBEsol structure, DFT meta-GGA SCAN; values from VASP
&SYSTEM
  ibrav = 0, nat = 4, ntyp = 3
/
ATOMIC_SPECIES
Ru 101.07 Ru.upf
Fe 55.84 Fe.upf
Be 9.01 Be.upf
CELL_PARAMETERS angstrom
2.826 0.000 0.000
0.000 3.750 0.000
-1.413 -1.875 3.909
ATOMIC_POSITIONS angstrom
Ru 1.413 0.000 0.000
Fe 1.413 1.875 1.871
Fe 0.000 0.000 2.039
Be 0.000 1.875 0.000
! **Energy of formation from the pure elements**: -56 meV/atom
! **Fermi-level density of states**: 2.976 states/eV/cell

! SrTlPS2, single point on PBEsol structure, DFT meta-GGA SCAN; values from VASP
&SYSTEM
  ibrav = 0, nat = 5, ntyp = 4
/
ATOMIC_SPECIES
Sr 87.62 Sr.upf
Tl 204.38 Tl.upf
S 32.06 S.upf
P 30.97 P.upf
CELL_PARAMETERS angstrom
5.507 0.000 0.000
0.000 5.507 0.000
0.000 0.000 5.704
ATOMIC_POSITIONS angstrom
Sr 0.000 0.000 0.000
Tl 2.753 2.753 2.852
S 0.000 2.753 0.000
S 2.753 0.000 0.000
P 0.000 0.000 2.852
! **Fermi-level density of states**: 1.720 states/eV/cell
! **ΔE_f (raw)**: 184 meV/atom

! CdAg2Sb, single point on PBEsol structure, DFT meta-GGA SCAN; values from VASP
&SYSTEM
  ibrav = 0, nat = 4, ntyp = 3
/
ATOMIC_SPECIES
Sb 121.76 Sb.upf
Ag 107.87 Ag.upf
Cd 112.41 Cd.upf
CELL_PARAMETERS angstrom
-1.853 2.267 1.255
-2.629 -3.254 1.994
3.742 -0.527 4.074
ATOMIC_POSITIONS angstrom
Sb 0.401 -0.478 5.134
Ag 3.353 -0.127 4.213
Ag -0.797 -1.096 2.546
Cd 0.063 1.663 2.796
! **Fermi-level density of states**: 0.974 states/eV/cell
! **ΔE_f (raw)**: 69 meV/atom

! MoH3W, single point on PBEsol structure, DFT meta-GGA SCAN; values from VASP
&SYSTEM
  ibrav = 0, nat = 5, ntyp = 3
/
ATOMIC_SPECIES
H 1.01 H.upf
Mo 95.94 Mo.upf
W 183.84 W.upf
CELL_PARAMETERS angstrom
3.417 0.000 0.000
0.000 3.417 0.000
0.000 0.000 3.417
ATOMIC_POSITIONS angstrom
H 0.000 1.709 0.000
H 0.000 0.000 1.709
H 1.709 0.000 0.000
Mo 0.000 0.000 0.000
W 1.709 1.709 1.709
! **Fermi-level density of states**: 2.177 states/eV/cell

! CoRu2Cl, single point on PBEsol structure, DFT meta-GGA SCAN; values from VASP
&SYSTEM
  ibrav = 0, nat = 4, ntyp = 3
/
ATOMIC_SPECIES
Ru 101.07 Ru.upf
Co 58.93 Co.upf
Cl 35.45 Cl.upf
CELL_PARAMETERS angstrom
2.779 0.000 0.010
0.000 3.827 0.000
-1.325 0.000 4.869
ATOMIC_POSITIONS angstrom
Ru -0.606 0.000 3.690
Ru 2.061 0.000 1.188
Co 0.727 1.914 2.439
Cl 1.389 1.914 0.005
! **Fermi-level density of states**: 3.271 states/eV/cell
! **ΔE_f (raw)**: 719 meV/atom

! BaPt2Au, single point on PBEsol structure, DFT meta-GGA SCAN; values from VASP
&SYSTEM
  ibrav = 0, nat = 4, ntyp = 3
/
ATOMIC_SPECIES
Au 196.97 Au.upf
Ba 137.33 Ba.upf
Pt 195.08 Pt.upf
CELL_PARAMETERS angstrom
4.615 0.000 0.000
-2.307 3.995 -0.076
0.000 -2.566 5.458
ATOMIC_POSITIONS angstrom
Au 2.307 0.000 0.000
Ba 0.000 -1.283 2.729
Pt 2.307 0.092 5.145
Pt 0.000 1.336 0.237
! **Energy of formation from the pure elements**: -642 meV/atom
! **Fermi-level density of states**: 1.734 states/eV/cell

! LaY2Ru, single point on PBEsol structure, DFT meta-GGA SCAN; values from VASP
&SYSTEM
  ibrav = 0, nat = 4, ntyp = 3
/
ATOMIC_SPECIES
La 138.91 La.upf
Ru 101.07 Ru.upf
Y 88.91 Y.upf
CELL_PARAMETERS angstrom
-3.609 0.046 -0.498
0.422 -4.144 -3.441
1.003 -1.365 5.929
ATOMIC_POSITIONS angstrom
La -1.662 -2.392 -1.503
Ru -0.069 -3.875 0.142
Y -2.123 -5.055 1.586
Y -2.107 -1.654 1.784
! **Energy of formation from the pure elements**: -207 meV/atom
! **Fermi-level density of states**: 3.321 states/eV/cell

! TaFe2Co, single point on PBEsol structure, DFT meta-GGA SCAN; values from VASP
&SYSTEM
  ibrav = 0, nat = 4, ntyp = 3
/
ATOMIC_SPECIES
Co 58.93 Co.upf
Fe 55.84 Fe.upf
Ta 180.95 Ta.upf
CELL_PARAMETERS angstrom
3.597 0.000 0.000
0.000 3.596 0.000
0.000 0.000 3.641
ATOMIC_POSITIONS angstrom
Co 0.000 1.798 1.821
Fe 0.000 0.000 0.000
Fe 1.798 1.798 0.000
Ta 1.798 0.000 1.821
! **Energy of formation from the pure elements**: -16 meV/atom
! **Fermi-level density of states**: 2.589 states/eV/cell

VASP energy in eV/atom, matching the order above: -51.13, -28.77, -12.59, -11.92, -69.35, -22.76, -10.09, -17.18, -23.11, -50.71, -26.43, -28.24, -18.92, -24.67, -32.53, -22.22, -23.01, -62.92, -33.61, -30.05